Record 1
## TaPb3N (PBE)

Data for TaPb3N after structural relaxation.

The calculation puts the volume at 33.61 A^3/atom. The crystal system is cubic. The magnetic moment comes out at 2.97 μB per cell. For the formation energy without anion corrections, the calculation gives 135.3 kJ/mol of atoms. The energy above the most stable polymorph in this dataset comes out at 0.2494 eV/atom.

It has space group Pm-3m (No. 221), with a = 5.5185 Å, b = 5.5185 Å, c = 5.5185 Å, α = 90.00°, β = 90.00° and γ = 90.00°. The asymmetric unit holds Ta at (0.0000, 0.0000, 0.0000), Pb at (0.0000, 0.0000, 0.5000) and N at (0.5000, 0.5000, 0.5000).

=====

Record 2
## Ta2PbN2 (PBE)

Data for Ta2PbN2 after structural relaxation.

The calculation puts the volume at 17.97 A^3/atom. The crystal system is tetragonal. The magnetic moment comes out at 0.00 μB per cell. For the formation energy without anion corrections, the calculation gives -31.3 kJ/mol of atoms. The energy above the most stable polymorph in this dataset comes out at 0.0000 eV/atom.

It has space group I4/mmm (No. 139), with a = 4.0965 Å, b = 4.0965 Å, c = 10.7074 Å, α = 90.00°, β = 90.00° and γ = 90.00°. The asymmetric unit holds Ta at (0.0000, 0.5000, 0.2500), Pb at (0.0000, 0.0000, 0.0000) and N at (0.0000, 0.0000, 0.2934).

=====

Record 3
## TaTePbN2 (PBE)

Data for TaTePbN2 after structural relaxation.

The calculation puts the volume at 22.19 A^3/atom. The crystal system is tetragonal. The magnetic moment comes out at 1.37 μB per cell. For the formation energy without anion corrections, the calculation gives 211.5 kJ/mol of atoms.

It has space group P4/mmm (No. 123), with a = 4.3752 Å, b = 4.3752 Å, c = 5.7964 Å, α = 90.00°, β = 90.00° and γ = 90.00°. The asymmetric unit holds Ta at (0.0000, 0.0000, 0.0000), Te at (0.5000, 0.5000, 0.0000), Pb at (0.5000, 0.5000, 0.5000) and N at (0.0000, 0.5000, 0.5000).

=====

Record 4
## TaTePb2N (PBE)

Data for TaTePb2N after structural relaxation.

The calculation puts the volume at 25.07 A^3/atom. The crystal system is tetragonal. The magnetic moment comes out at 0.00 μB per cell. For the formation energy without anion corrections, the calculation gives 31.2 kJ/mol of atoms.

It has space group P4/mmm (No. 123), with a = 5.5921 Å, b = 5.5921 Å, c = 4.0087 Å, α = 90.00°, β = 90.00° and γ = 90.00°. The asymmetric unit holds Ta at (0.0000, 0.0000, 0.0000), Te at (0.5000, 0.5000, 0.0000), Pb at (0.0000, 0.5000, 0.5000) and N at (0.0000, 0.0000, 0.5000).

=====

Record 5
## Tb3Pb2N (PBE)

Data for Tb3Pb2N after structural relaxation.

The calculation puts the volume at 26.04 A^3/atom. The crystal system is monoclinic. The magnetic moment comes out at 0.00 μB per cell. For the formation energy without anion corrections, the calculation gives -72.9 kJ/mol of atoms.

It has space group C2/c (No. 15), with a = 14.2585 Å, b = 6.5545 Å, c = 6.8371 Å, α = 90.00°, β = 102.01° and γ = 90.00°. The asymmetric unit holds Tb at (0.0000, 0.0890, 0.2500), Tb at (0.1145, 0.4364, 0.5998), Pb at (0.1852, 0.0687, 0.0688) and N at (0.0000, 0.4341, 0.2500).

=====

Record 6
## Tb2PbN (PBE)

Data for Tb2PbN after structural relaxation.

The calculation puts the volume at 21.81 A^3/atom. The crystal system is trigonal. The magnetic moment comes out at 0.00 μB per cell. For the formation energy without anion corrections, the calculation gives -104.7 kJ/mol of atoms.

It has space group R-3m (No. 166, hexagonal axes), with a = 3.5774 Å, b = 3.5774 Å, c = 23.6188 Å, α = 90.00°, β = 90.00° and γ = 120.00°. The asymmetric unit holds Tb at (0.0000, 0.0000, 0.2224), Pb at (0.0000, 0.0000, 0.0000) and N at (0.0000, 0.0000, 0.5000).

=====

Record 7
## Tb6Pb2N (PBE)

Data for Tb6Pb2N after structural relaxation.

The calculation puts the volume at 26.21 A^3/atom. The crystal system is cubic. The magnetic moment comes out at 0.00 μB per cell. For the formation energy without anion corrections, the calculation gives -58.8 kJ/mol of atoms. The energy above the most stable polymorph in this dataset comes out at 0.0000 eV/atom.

It has space group Fm-3m (No. 225), with a = 9.8081 Å, b = 9.8081 Å, c = 9.8081 Å, α = 90.00°, β = 90.00° and γ = 90.00°. The asymmetric unit holds Tb at (0.0000, 0.0000, 0.2445), Pb at (0.2500, 0.2500, 0.2500) and N at (0.0000, 0.0000, 0.0000).

=====

Record 8
## Tb4Pb2N (PBE)

Data for Tb4Pb2N after structural relaxation.

The calculation puts the volume at 26.32 A^3/atom. The crystal system is tetragonal. The magnetic moment comes out at 0.00 μB per cell. For the formation energy without anion corrections, the calculation gives -81.5 kJ/mol of atoms. The energy above the most stable polymorph in this dataset comes out at 0.0000 eV/atom.

It has space group I4/mmm (No. 139), with a = 4.7764 Å, b = 4.7764 Å, c = 16.1542 Å, α = 90.00°, β = 90.00° and γ = 90.00°. The asymmetric unit holds Tb at (0.0000, 0.0000, 0.1564), Tb at (0.0000, 0.5000, 0.0000), Pb at (0.0000, 0.0000, 0.3557) and N at (0.0000, 0.0000, 0.0000).

=====

Please write out number 7 again, unchanged.
## Tb6Pb2N (PBE)

Data for Tb6Pb2N after structural relaxation.

The calculation puts the volume at 26.21 A^3/atom. The crystal system is cubic. The magnetic moment comes out at 0.00 μB per cell. For the formation energy without anion corrections, the calculation gives -58.8 kJ/mol of atoms. The energy above the most stable polymorph in this dataset comes out at 0.0000 eV/atom.

It has space group Fm-3m (No. 225), with a = 9.8081 Å, b = 9.8081 Å, c = 9.8081 Å, α = 90.00°, β = 90.00° and γ = 90.00°. The asymmetric unit holds Tb at (0.0000, 0.0000, 0.2445), Pb at (0.2500, 0.2500, 0.2500) and N at (0.0000, 0.0000, 0.0000).

=====

Repeat the fourth record exactly.
## TaTePb2N (PBE)

Data for TaTePb2N after structural relaxation.

The calculation puts the volume at 25.07 A^3/atom. The crystal system is tetragonal. The magnetic moment comes out at 0.00 μB per cell. For the formation energy without anion corrections, the calculation gives 31.2 kJ/mol of atoms.

It has space group P4/mmm (No. 123), with a = 5.5921 Å, b = 5.5921 Å, c = 4.0087 Å, α = 90.00°, β = 90.00° and γ = 90.00°. The asymmetric unit holds Ta at (0.0000, 0.0000, 0.0000), Te at (0.5000, 0.5000, 0.0000), Pb at (0.0000, 0.5000, 0.5000) and N at (0.0000, 0.0000, 0.5000).